# MgMoPCl2 | Alexandria | meta-GGA SCAN | single point on PBEsol structure
data_MgMoPCl2
_cell_length_a 4.420
_cell_length_b 4.420
_cell_length_c 5.785
_cell_angle_alpha 90.00
_cell_angle_beta 90.00
_cell_angle_gamma 90.00
_space_group_name_H-M_alt 'P 1'
_space_group_IT_number 1
loop_
_space_group_symop_operation_xyz
'x,y,z'
loop_
_atom_site_label
_atom_site_fract_x
_atom_site_fract_y
_atom_site_fract_z
P1 0.000 0.000 0.500
Mo1 0.500 0.500 0.500
Mg1 0.000 0.000 0.000
Cl1 0.000 0.500 0.000
Cl2 0.500 0.000 0.000
# crystal system: tetragonal
# symmetry: No. 123
# raw total energy: -65.91 eV/cell
# E_form (uncorrected): 0.061 eV per atom

***

# Mg3NCl | Alexandria | meta-GGA SCAN | single point on PBEsol structure
data_Mg3NCl
_cell_length_a 4.741
_cell_length_b 4.741
_cell_length_c 4.741
_cell_angle_alpha 90.00
_cell_angle_beta 90.00
_cell_angle_gamma 90.00
_space_group_name_H-M_alt 'P 1'
_space_group_IT_number 1
loop_
_space_group_symop_operation_xyz
'x,y,z'
loop_
_atom_site_label
_atom_site_fract_x
_atom_site_fract_y
_atom_site_fract_z
Mg1 0.000 0.500 0.000
Mg2 0.000 0.000 0.500
Mg3 0.500 0.000 0.000
N1 0.500 0.500 0.500
Cl1 0.000 0.000 0.000
# crystal system: cubic
# symmetry: No. 221
# raw total energy: -27.07 eV/cell
# E_form (uncorrected): 1.024 eV per atom

***

# MgSeN2Cl | Alexandria | meta-GGA SCAN | single point on PBEsol structure
data_MgSeN2Cl
_cell_length_a 4.067
_cell_length_b 4.067
_cell_length_c 5.592
_cell_angle_alpha 90.00
_cell_angle_beta 90.00
_cell_angle_gamma 90.00
_space_group_name_H-M_alt 'P 1'
_space_group_IT_number 1
loop_
_space_group_symop_operation_xyz
'x,y,z'
loop_
_atom_site_label
_atom_site_fract_x
_atom_site_fract_y
_atom_site_fract_z
Mg1 0.000 0.000 0.000
N1 0.000 0.500 0.000
N2 0.500 0.000 0.000
Se1 0.000 0.000 0.500
Cl1 0.500 0.500 0.500
# crystal system: tetragonal
# symmetry: No. 123
# raw total energy: -45.92 eV/cell
# E_form (uncorrected): 1.139 eV per atom

***

What did the second record say?
# Mg3NCl | Alexandria | meta-GGA SCAN | single point on PBEsol structure
data_Mg3NCl
_cell_length_a 4.741
_cell_length_b 4.741
_cell_length_c 4.741
_cell_angle_alpha 90.00
_cell_angle_beta 90.00
_cell_angle_gamma 90.00
_space_group_name_H-M_alt 'P 1'
_space_group_IT_number 1
loop_
_space_group_symop_operation_xyz
'x,y,z'
loop_
_atom_site_label
_atom_site_fract_x
_atom_site_fract_y
_atom_site_fract_z
Mg1 0.000 0.500 0.000
Mg2 0.000 0.000 0.500
Mg3 0.500 0.000 0.000
N1 0.500 0.500 0.500
Cl1 0.000 0.000 0.000
# crystal system: cubic
# symmetry: No. 221
# raw total energy: -27.07 eV/cell
# E_form (uncorrected): 1.024 eV per atom

***

Number 2 is which compound? Mg3NCl